(1)
A plane-wave DFT calculation with GGA-PBE was carried out for a relaxed Pr2TmTh4 crystal.

Geometry as POSCAR:
```
Pr2TmTh4
1.0
3.552 0.000 -0.469
0.000 3.591 0.000
0.610 0.000 18.321
Th Pr Tm
4 2 1
Direct
0.364 0.000 0.729
0.069 0.500 0.138
0.931 0.500 0.862
0.636 0.000 0.271
0.795 0.500 0.590
0.205 0.500 0.410
0.500 0.000 0.000
```

Summary:
DOS(E_F) = 1.56 states/eV per atom
total DFT energy (no corrections) = -43.2 eV/cell

(2)
A plane-wave DFT calculation with GGA-PBE was carried out for a relaxed Pr2Tm9Th crystal.

Geometry as POSCAR:
```
Pr2Tm9Th
1.0
-1.066 -3.931 2.886
4.627 0.118 1.869
-4.639 9.260 10.900
Pr Tm Th
2 9 1
Direct
0.000 0.000 0.668
0.000 0.000 0.332
0.500 0.000 0.500
0.500 0.000 0.837
0.500 0.500 0.333
0.000 0.500 0.163
0.000 0.500 0.500
0.500 0.500 0.000
0.000 0.500 0.837
0.500 0.000 0.163
0.500 0.500 0.667
0.000 0.000 0.000
```

Summary:
DOS(E_F) = 1.56 states/eV per atom
total DFT energy (no corrections) = -56.9 eV/cell